1.
The following is a DFT calculation (PBE) of a geometry-optimized ScCuW2 structure.

Geometry as extended XYZ:
```
4
Lattice="-0.799 -1.515 -2.133 2.561 -0.907 -0.315 -1.690 -6.627 5.338" Properties=species:S:1:pos:R:3 pbc="T T T"
Cu -0.828 -3.245 2.614
Sc -0.360 -6.076 2.696
W -0.009 -0.035 0.028
W 0.424 -3.005 0.221
```

raw total energy: -8.825 eV/atom
SG: P4mm (99)
excess energy over the best structure of this formula in the dataset: 101.2 meV/atom
formation energy from the elements: 0.259 eV per atom
magnetic moment: 0.00 μB/cell

2.
The following is a DFT calculation (PBE) of a geometry-optimized SrBePt3 structure.

Geometry as extended XYZ:
```
20
Lattice="5.531 0.000 0.000 0.000 7.122 0.000 0.000 0.000 9.308" Properties=species:S:1:pos:R:3 pbc="T T T"
Sr 0.000 0.000 4.654
Sr 2.766 3.561 0.000
Sr 2.766 0.000 0.000
Sr 0.000 3.561 4.654
Pt 0.000 6.670 7.827
Pt 2.765 3.109 3.173
Pt 2.765 0.452 3.173
Pt 5.531 3.109 1.481
Pt 5.531 0.452 1.481
Pt 2.766 4.013 6.136
Pt 2.766 6.670 6.136
Pt 0.000 4.013 7.827
Pt 1.383 1.781 6.981
Pt 1.382 5.342 2.327
Pt 4.148 5.342 2.327
Pt 4.149 1.781 6.981
Be 2.766 1.781 5.050
Be 5.531 5.342 0.396
Be 2.765 5.342 4.258
Be 0.000 1.781 8.912
```

raw total energy: -5.344 eV/atom
SG: Imma (74)
excess energy over the best structure of this formula in the dataset: 106.1 meV/atom
formation energy from the elements: -0.638 eV per atom
magnetic moment: 0.00 μB/cell

3.
The following is a DFT calculation (PBE) of a geometry-optimized B2C structure.

Geometry as extended XYZ:
```
12
Lattice="1.365 7.255 -0.100 -1.365 7.255 -0.100 0.000 1.545 4.377" Properties=species:S:1:pos:R:3 pbc="T T T"
B 0.000 5.327 1.284
B 0.000 5.737 4.212
B 0.000 2.604 0.887
B 0.000 4.091 3.466
B 0.000 14.083 0.002
B 0.000 12.263 2.516
B 0.000 10.525 2.735
B 0.000 7.996 2.103
C 0.000 14.952 2.944
C 0.000 13.582 3.453
C 0.000 9.571 1.527
C 0.000 6.868 0.876
```

raw total energy: -7.163 eV/atom
SG: Cm (8)
excess energy over the best structure of this formula in the dataset: 177.8 meV/atom
formation energy from the elements: 0.363 eV per atom
magnetic moment: 0.00 μB/cell

4.
The following is a DFT calculation (PBE) of a geometry-optimized Ca2AuBr structure.

Geometry as extended XYZ:
```
4
Lattice="-1.081 0.714 3.987 -2.355 -2.787 2.064 5.344 -4.381 4.438" Properties=species:S:1:pos:R:3 pbc="T T T"
Ca 3.930 -3.577 3.910
Ca 0.220 -1.468 2.527
Au 3.012 -5.740 8.456
Br 1.043 -3.278 5.277
```

raw total energy: -3.334 eV/atom
SG: R3m (160)
excess energy over the best structure of this formula in the dataset: 12.4 meV/atom
uncorrected formation energy: -4.4 eV per formula unit
magnetic moment: 0.00 μB/cell

5.
The following is a DFT calculation (PBE) of a geometry-optimized LaZn9Pd2 structure.

Geometry as extended XYZ:
```
12
Lattice="3.019 0.000 0.000 0.000 8.831 0.000 0.000 -4.416 7.648" Properties=species:S:1:pos:R:3 pbc="T T T"
La 0.000 0.000 0.000
Zn 1.510 6.346 1.435
Zn 0.000 -2.208 3.824
Zn 0.000 2.208 3.824
Zn 1.510 4.416 4.778
Zn 1.510 -1.930 6.213
Zn 1.510 1.930 6.213
Zn 1.510 0.000 2.870
Zn 0.000 4.416 0.000
Zn 1.510 2.486 1.435
Pd 0.000 4.416 2.549
Pd 0.000 0.000 5.099
```

raw total energy: -2.494 eV/atom
SG: P6/mmm (191)
excess energy over the best structure of this formula in the dataset: 130.3 meV/atom
formation energy from the elements: -0.263 eV per atom
magnetic moment: 0.00 μB/cell

6.
The following is a DFT calculation (PBE) of a geometry-optimized SnRhAu2N structure.

Geometry as extended XYZ:
```
5
Lattice="5.273 0.000 0.000 0.000 3.631 0.000 0.000 0.000 5.273" Properties=species:S:1:pos:R:3 pbc="T T T"
Rh 0.000 0.000 0.000
Au 0.000 0.000 2.636
Au 2.636 0.000 0.000
Sn 2.636 1.815 2.636
N 0.000 1.815 0.000
```

raw total energy: -4.815 eV/atom
SG: P4/mmm (123)
uncorrected formation energy: 2.2 eV per formula unit
magnetic moment: 0.00 μB/cell

7.
The following is a DFT calculation (PBE) of a geometry-optimized BiPdPbO6 structure.

Geometry as extended XYZ:
```
18
Lattice="-4.007 0.548 -2.922 -1.750 -4.399 1.574 -4.837 4.607 7.496" Properties=species:S:1:pos:R:3 pbc="T T T"
Bi -3.691 -1.151 0.586
Bi -3.231 3.078 5.007
Pd -6.912 1.917 5.577
Pd -1.615 1.539 2.503
Pb -5.294 0.375 3.069
Pb -4.834 4.604 7.491
O -4.534 -1.235 4.423
O -5.963 1.899 1.575
O -6.612 3.341 6.994
O -8.722 1.930 6.500
O -3.021 -2.675 2.075
O -4.448 0.455 -0.769
O -5.095 1.901 4.648
O -7.211 0.486 4.153
O -7.565 3.359 4.247
O -6.243 0.459 6.882
O -5.677 -1.191 1.538
O -3.294 0.402 2.096
```

raw total energy: -5.412 eV/atom
SG: P4_2nm (102)
uncorrected formation energy: -6.2 eV per formula unit
magnetic moment: 0.00 μB/cell

8.
The following is a DFT calculation (PBE) of a geometry-optimized NbTl2PbS4 structure.

Geometry as extended XYZ:
```
8
Lattice="6.798 0.465 0.713 -2.476 6.348 -0.713 -2.476 -3.207 5.525" Properties=species:S:1:pos:R:3 pbc="T T T"
Nb -2.476 1.570 2.406
Tl 0.923 4.192 1.203
Tl 0.000 0.000 0.000
Pb 0.923 -0.586 4.322
S 2.040 1.790 2.978
S -1.530 -0.507 2.688
S 5.072 3.038 1.189
S -1.889 2.892 4.194
```

raw total energy: -4.925 eV/atom
SG: I-4 (82)
uncorrected formation energy: -4.4 eV per formula unit
magnetic moment: 0.00 μB/cell

9.
The following is a DFT calculation (PBE) of a geometry-optimized Na2Cd2Au structure.

Geometry as extended XYZ:
```
5
Lattice="-2.732 1.598 -2.399 -2.615 0.016 2.989 0.012 8.861 2.601" Properties=species:S:1:pos:R:3 pbc="T T T"
Na -2.192 2.251 0.709
Na -3.143 8.224 2.483
Au 0.000 0.000 0.000
Cd -2.697 5.633 0.249
Cd -2.638 4.842 2.943
```

raw total energy: -1.604 eV/atom
SG: I4/mmm (139)
excess energy over the best structure of this formula in the dataset: 159.8 meV/atom
formation energy from the elements: -0.055 eV per atom
magnetic moment: 0.00 μB/cell

10.
The following is a DFT calculation (PBE) of a geometry-optimized Pm6In5Sn structure.

Geometry as extended XYZ:
```
12
Lattice="-2.560 -3.853 -2.169 8.748 -1.050 -2.436 -1.289 -0.828 9.012" Properties=species:S:1:pos:R:3 pbc="T T T"
In -0.842 -2.793 5.957
In 2.063 -0.902 5.188
In 2.450 -2.866 2.203
In 2.836 -4.829 -0.782
In 5.741 -2.938 -1.551
Sn 0.000 0.000 0.000
Pm -0.447 -1.385 2.988
Pm 2.023 -4.273 5.209
Pm -0.070 -3.341 0.003
Pm 4.970 -2.391 4.404
Pm 2.877 -1.458 -0.803
Pm 5.346 -4.346 1.419
```

raw total energy: -4.377 eV/atom
SG: Immm (71)
formation energy from the elements: -0.527 eV per atom
magnetic moment: 0.00 μB/cell

11.
The following is a DFT calculation (PBE) of a geometry-optimized ZnRePd structure.

Geometry as extended XYZ:
```
6
Lattice="-2.484 -0.738 -0.984 0.690 -0.604 2.616 -5.023 11.586 3.997" Properties=species:S:1:pos:R:3 pbc="T T T"
Pd -1.365 -0.586 -0.018
Pd -2.818 5.254 3.177
Re -3.023 3.240 1.299
Re -4.730 7.177 2.657
Zn -4.520 9.178 4.533
Zn -1.117 1.327 1.825
```

raw total energy: -6.299 eV/atom
SG: P-6m2 (187)
excess energy over the best structure of this formula in the dataset: 0.0 meV/atom
formation energy from the elements: 0.006 eV per atom
magnetic moment: 0.00 μB/cell

12.
The following is a DFT calculation (PBE) of a geometry-optimized Cr2NiRh structure.

Geometry as extended XYZ:
```
4
Lattice="-3.896 -1.581 -1.638 -1.945 -2.501 -3.212 -0.204 -3.819 1.981" Properties=species:S:1:pos:R:3 pbc="T T T"
Cr -0.213 -3.788 1.951
Cr -3.013 -3.982 -1.404
Ni -4.533 -5.926 -2.151
Rh -1.511 -1.975 -0.717
```

raw total energy: -8.003 eV/atom
SG: C2/m (12)
formation energy from the elements: 0.092 eV per atom
magnetic moment: 0.00 μB/cell

13.
The following is a DFT calculation (PBE) of a geometry-optimized CoMo3 structure.

Geometry as extended XYZ:
```
4
Lattice="-2.837 -4.377 7.798 -0.456 -3.427 8.721 -2.676 -1.848 8.800" Properties=species:S:1:pos:R:3 pbc="T T T"
Co 0.000 0.000 0.000
Mo -1.532 -2.477 6.498
Mo -2.984 -4.826 12.659
Mo -4.437 -7.175 18.821
```

raw total energy: -9.573 eV/atom
SG: R-3m (166)
formation energy from the elements: 0.327 eV per atom
magnetic moment: 0.93 μB/cell

14.
The following is a DFT calculation (PBE) of a geometry-optimized Sr2YGaNi structure.

Geometry as extended XYZ:
```
5
Lattice="-2.989 -4.775 0.347 1.197 -1.110 -4.957 4.609 -2.760 1.731" Properties=species:S:1:pos:R:3 pbc="T T T"
Y 0.598 -0.555 -2.478
Sr 2.305 -1.380 0.865
Sr -1.495 -2.387 0.174
Ga 1.408 -4.322 -1.439
Ni 0.000 0.000 0.000
```

raw total energy: -3.672 eV/atom
SG: P4/mmm (123)
formation energy from the elements: 0.055 eV per atom
magnetic moment: 0.00 μB/cell

15.
The following is a DFT calculation (PBE) of a geometry-optimized Tm3Ge2S structure.

Geometry as extended XYZ:
```
6
Lattice="3.593 0.000 -1.499 -1.104 4.926 -2.646 0.819 0.655 7.016" Properties=species:S:1:pos:R:3 pbc="T T T"
Tm 1.245 2.463 -2.073
Tm 0.664 1.004 1.591
Tm 2.644 4.577 1.279
Ge 0.134 3.500 0.321
Ge 3.174 2.081 2.550
S 1.797 0.000 -0.750
```

raw total energy: -5.650 eV/atom
SG: Immm (71)
uncorrected formation energy: -7.1 eV per formula unit
magnetic moment: 0.00 μB/cell

16.
The following is a DFT calculation (PBE) of a geometry-optimized Pa2CoRe3 structure.

Geometry as extended XYZ:
```
6
Lattice="1.269 4.865 -1.141 -1.765 -2.863 -3.907 -4.432 -0.907 3.020" Properties=species:S:1:pos:R:3 pbc="T T T"
Pa -0.247 2.428 -1.958
Pa -4.680 -1.333 -0.070
Co 0.000 0.000 0.000
Re -2.463 0.548 -1.014
Re -2.216 -0.453 1.510
Re -1.581 1.979 0.940
```

raw total energy: -10.770 eV/atom
SG: C2/m (12)
formation energy from the elements: -0.197 eV per atom
magnetic moment: 0.00 μB/cell